*1*
A plane-wave DFT calculation with PBE was carried out for a geometry-optimized InC3Br structure.

Values from the calculation:
M_tot (μB per atom): 0.000
Theoretical density (g/cm3): 5.4
Fermi-level density of states (states/eV/f.u.): 4.22
Calculated volume (Å³/atom): 14.241

a = 4.1448 Å, b = 4.1448 Å, c = 4.1448 Å
α = 90.00°, β = 90.00°, γ = 90.00°
Space group Pm-3m (No. 221)
Unique sites:
In 0.0000 0.0000 0.0000 (multiplicity 1)
C 0.0000 0.5000 0.5000 (multiplicity 3)
Br 0.5000 0.5000 0.5000 (multiplicity 1)

=====

*2*
A plane-wave DFT calculation with PBE was carried out for a geometry-optimized InC3Br structure.

Values from the calculation:
M_tot (μB per atom): 0.556
Theoretical density (g/cm3): 4.2
Fermi-level density of states (states/eV/f.u.): 4.66
Calculated volume (Å³/atom): 18.042

a = 4.4849 Å, b = 4.4849 Å, c = 4.4849 Å
α = 90.00°, β = 90.00°, γ = 90.00°
Space group Pm-3m (No. 221)
Unique sites:
In 0.0000 0.0000 0.0000 (multiplicity 1)
C 0.0000 0.0000 0.5000 (multiplicity 3)
Br 0.5000 0.5000 0.5000 (multiplicity 1)

=====

It is *2* that is the most stable of them.

=====

*1*
A plane-wave DFT calculation with PBE was carried out for a geometry-optimized Ir3CBr structure.

Values from the calculation:
M_tot (μB per atom): 0.000
Theoretical density (g/cm3): 15.1
Fermi-level density of states (states/eV/f.u.): 6.78
Calculated volume (Å³/atom): 14.717

a = 4.1905 Å, b = 4.1905 Å, c = 4.1905 Å
α = 90.00°, β = 90.00°, γ = 90.00°
Space group Pm-3m (No. 221)
Unique sites:
Ir 0.0000 0.0000 0.5000 (multiplicity 3)
C 0.0000 0.0000 0.0000 (multiplicity 1)
Br 0.5000 0.5000 0.5000 (multiplicity 1)

=====

*2*
A plane-wave DFT calculation with PBE was carried out for a geometry-optimized Ir3CBr structure.

Values from the calculation:
M_tot (μB per atom): 0.206
Theoretical density (g/cm3): 11.4
Fermi-level density of states (states/eV/f.u.): 7.28
Calculated volume (Å³/atom): 19.515

a = 4.6038 Å, b = 4.6038 Å, c = 4.6038 Å
α = 90.00°, β = 90.00°, γ = 90.00°
Space group Pm-3m (No. 221)
Unique sites:
Ir 0.0000 0.0000 0.5000 (multiplicity 3)
C 0.5000 0.5000 0.5000 (multiplicity 1)
Br 0.0000 0.0000 0.0000 (multiplicity 1)

=====

It is *1* that is the most stable of them.

=====

*1*
A plane-wave DFT calculation with PBE was carried out for a geometry-optimized IrCBr2 structure.

Values from the calculation:
M_tot (μB per atom): 0.000
Theoretical density (g/cm3): 7.7
Fermi-level density of states (states/eV/f.u.): 3.80
Calculated volume (Å³/atom): 19.750

a = 6.4034 Å, b = 6.4034 Å, c = 7.7065 Å
α = 90.00°, β = 90.00°, γ = 90.00°
Space group I-42d (No. 122)
Unique sites:
Ir 0.0000 0.0000 0.0000 (multiplicity 4)
C 0.0000 0.0000 0.5000 (multiplicity 4)
Br 0.2452 0.7500 0.6250 (multiplicity 8)

=====

*2*
A plane-wave DFT calculation with PBE was carried out for a geometry-optimized IrCBr2 structure.

Values from the calculation:
M_tot (μB per atom): 0.000
Theoretical density (g/cm3): 9.2
Fermi-level density of states (states/eV/f.u.): 7.13
Calculated volume (Å³/atom): 16.468

a = 6.4109 Å, b = 6.4109 Å, c = 6.4109 Å
α = 90.00°, β = 90.00°, γ = 90.00°
Space group Fm-3m (No. 225)
Unique sites:
Ir 0.0000 0.0000 0.0000 (multiplicity 4)
C 0.0000 0.0000 0.5000 (multiplicity 4)
Br 0.2500 0.2500 0.2500 (multiplicity 8)

=====

*3*
A plane-wave DFT calculation with PBE was carried out for a geometry-optimized IrCBr2 structure.

Values from the calculation:
M_tot (μB per atom): 0.000
Theoretical density (g/cm3): 8.4
Fermi-level density of states (states/eV/f.u.): 2.49
Calculated volume (Å³/atom): 17.971

a = 3.2348 Å, b = 3.2348 Å, c = 23.7970 Å
α = 90.00°, β = 90.00°, γ = 120.00°
Space group R-3m (No. 166, hexagonal axes)
Unique sites:
Ir 0.0000 0.0000 0.0000 (multiplicity 3)
C 0.0000 0.0000 0.5000 (multiplicity 3)
Br 0.0000 0.0000 0.1011 (multiplicity 6)

=====

It is *3* that is the most stable of them.

=====

*1*
A plane-wave DFT calculation with PBE was carried out for a geometry-optimized IrC2Br structure.

Values from the calculation:
M_tot (μB per atom): 0.000
Theoretical density (g/cm3): 10.5
Fermi-level density of states (states/eV/f.u.): 2.83
Calculated volume (Å³/atom): 11.727

a = 5.7249 Å, b = 5.7249 Å, c = 5.7249 Å
α = 90.00°, β = 90.00°, γ = 90.00°
Space group Fm-3m (No. 225)
Unique sites:
Ir 0.0000 0.0000 0.0000 (multiplicity 4)
C 0.2500 0.2500 0.2500 (multiplicity 8)
Br 0.0000 0.0000 0.5000 (multiplicity 4)

=====

*2*
A plane-wave DFT calculation with PBE was carried out for a geometry-optimized IrC2Br structure.

Values from the calculation:
M_tot (μB per atom): 0.000
Theoretical density (g/cm3): 6.9
Fermi-level density of states (states/eV/f.u.): 1.41
Calculated volume (Å³/atom): 17.868

a = 5.5950 Å, b = 5.5950 Å, c = 9.1325 Å
α = 90.00°, β = 90.00°, γ = 90.00°
Space group I-42d (No. 122)
Unique sites:
Ir 0.0000 0.0000 0.0000 (multiplicity 4)
C 0.1064 0.2500 0.1250 (multiplicity 8)
Br 0.0000 0.0000 0.5000 (multiplicity 4)

=====

It is *2* that is the most stable of them.

=====

*1*
A plane-wave DFT calculation with PBE was carried out for a geometry-optimized Ir2CBr structure.

Values from the calculation:
M_tot (μB per atom): 0.000
Theoretical density (g/cm3): 14.3
Fermi-level density of states (states/eV/f.u.): 4.75
Calculated volume (Å³/atom): 13.847

a = 6.0510 Å, b = 6.0510 Å, c = 6.0510 Å
α = 90.00°, β = 90.00°, γ = 90.00°
Space group Fm-3m (No. 225)
Unique sites:
Ir 0.2500 0.2500 0.2500 (multiplicity 8)
C 0.0000 0.0000 0.0000 (multiplicity 4)
Br 0.0000 0.0000 0.5000 (multiplicity 4)

=====

*2*
A plane-wave DFT calculation with PBE was carried out for a geometry-optimized Ir2CBr structure.

Values from the calculation:
M_tot (μB per atom): 0.000
Theoretical density (g/cm3): 11.5
Fermi-level density of states (states/eV/f.u.): 4.37
Calculated volume (Å³/atom): 17.224

a = 5.0986 Å, b = 5.0986 Å, c = 10.6010 Å
α = 90.00°, β = 90.00°, γ = 90.00°
Space group I-42d (No. 122)
Unique sites:
Ir 0.1470 0.2500 0.1250 (multiplicity 8)
C 0.0000 0.0000 0.0000 (multiplicity 4)
Br 0.0000 0.0000 0.5000 (multiplicity 4)

=====

It is *2* that is the most stable of them.

=====

*1*
A plane-wave DFT calculation with PBE was carried out for a geometry-optimized KCBr2 structure.

Values from the calculation:
M_tot (μB per atom): 0.000
Theoretical density (g/cm3): 2.9
Fermi-level density of states (states/eV/f.u.): 2.13
Calculated volume (Å³/atom): 30.076

a = 3.9905 Å, b = 3.9905 Å, c = 26.1709 Å
α = 90.00°, β = 90.00°, γ = 120.00°
Space group R-3m (No. 166, hexagonal axes)
Unique sites:
K 0.0000 0.0000 0.0000 (multiplicity 3)
C 0.0000 0.0000 0.5000 (multiplicity 3)
Br 0.0000 0.0000 0.1182 (multiplicity 6)

=====

*2*
A plane-wave DFT calculation with PBE was carried out for a geometry-optimized KCBr2 structure.

Values from the calculation:
M_tot (μB per atom): 0.250
Theoretical density (g/cm3): 2.0
Fermi-level density of states (states/eV/f.u.): 10.39
Calculated volume (Å³/atom): 44.522

a = 5.1466 Å, b = 5.1466 Å, c = 23.2910 Å
α = 90.00°, β = 90.00°, γ = 120.00°
Space group R-3m (No. 166, hexagonal axes)
Unique sites:
K 0.0000 0.0000 0.0000 (multiplicity 3)
C 0.0000 0.0000 0.5000 (multiplicity 3)
Br 0.0000 0.0000 0.4016 (multiplicity 6)

=====

*3*
A plane-wave DFT calculation with PBE was carried out for a geometry-optimized KCBr2 structure.

Values from the calculation:
M_tot (μB per atom): 0.250
Theoretical density (g/cm3): 2.7
Fermi-level density of states (states/eV/f.u.): 0.01
Calculated volume (Å³/atom): 32.762

a = 6.4272 Å, b = 6.4272 Å, c = 12.6895 Å
α = 90.00°, β = 90.00°, γ = 90.00°
Space group I-42d (No. 122)
Unique sites:
K 0.0000 0.0000 0.0000 (multiplicity 4)
C 0.0000 0.0000 0.5000 (multiplicity 4)
Br 0.0965 0.2500 0.6250 (multiplicity 8)

=====

It is *3* that is the most stable of them.

=====

*1*
A plane-wave DFT calculation with PBE was carried out for a geometry-optimized KC2Br structure.

Values from the calculation:
M_tot (μB per atom): 1.000
Theoretical density (g/cm3): 2.7
Fermi-level density of states (states/eV/f.u.): 7.87
Calculated volume (Å³/atom): 21.781

a = 7.0372 Å, b = 7.0372 Å, c = 7.0372 Å
α = 90.00°, β = 90.00°, γ = 90.00°
Space group Fm-3m (No. 225)
Unique sites:
K 0.0000 0.0000 0.0000 (multiplicity 4)
C 0.2500 0.2500 0.2500 (multiplicity 8)
Br 0.0000 0.0000 0.5000 (multiplicity 4)

=====

*2*
A plane-wave DFT calculation with PBE was carried out for a geometry-optimized KC2Br structure.

Values from the calculation:
M_tot (μB per atom): 0.000
Theoretical density (g/cm3): 3.2
Fermi-level density of states (states/eV/f.u.): 0.00
Calculated volume (Å³/atom): 18.738

a = 6.4171 Å, b = 6.4171 Å, c = 7.2804 Å
α = 90.00°, β = 90.00°, γ = 90.00°
Space group I-42d (No. 122)
Unique sites:
K 0.0000 0.0000 0.0000 (multiplicity 4)
C 0.1465 0.7500 0.6250 (multiplicity 8)
Br 0.0000 0.0000 0.5000 (multiplicity 4)

=====

It is *2* that is the most stable of them.

=====

*1*
A plane-wave DFT calculation with PBE was carried out for a geometry-optimized K2CBr structure.

Values from the calculation:
M_tot (μB per atom): 0.750
Theoretical density (g/cm3): 2.4
Fermi-level density of states (states/eV/f.u.): 0.00
Calculated volume (Å³/atom): 29.427

a = 7.7795 Å, b = 7.7795 Å, c = 7.7795 Å
α = 90.00°, β = 90.00°, γ = 90.00°
Space group Fm-3m (No. 225)
Unique sites:
K 0.2500 0.2500 0.2500 (multiplicity 8)
C 0.0000 0.0000 0.0000 (multiplicity 4)
Br 0.0000 0.0000 0.5000 (multiplicity 4)

=====

*2*
A plane-wave DFT calculation with PBE was carried out for a geometry-optimized K2CBr structure.

Values from the calculation:
M_tot (μB per atom): 0.750
Theoretical density (g/cm3): 1.8
Fermi-level density of states (states/eV/f.u.): 0.00
Calculated volume (Å³/atom): 38.201

a = 8.0281 Å, b = 8.0281 Å, c = 9.4836 Å
α = 90.00°, β = 90.00°, γ = 90.00°
Space group I-42d (No. 122)
Unique sites:
K 0.2192 0.2500 0.1250 (multiplicity 8)
C 0.0000 0.0000 0.0000 (multiplicity 4)
Br 0.0000 0.0000 0.5000 (multiplicity 4)

=====

It is *1* that is the most stable of them.